Here is an optimized crystal structure of TmScW4 from Alexandria via LeMat-Bulk. Energies are from PBE.

Its total DFT energy (no corrections) is -10.366 eV/atom. As for the spin magnetization: 0.00 μB per formula unit.

a = 7.7204 Å, b = 7.7204 Å, c = 7.7204 Å
α = 90.00°, β = 90.00°, γ = 90.00°
With the nearest neighbours (Å) after each atom.
Space group F-43m (No. 216)
Asymmetric unit:
Tm 0.0000 0.0000 0.0000 x4  12 W 3.20, 4 Sc 3.34
Sc 0.2500 0.2500 0.7500 x4  12 W 3.20, 4 Tm 3.34
W 0.1250 0.1250 0.3750 x16  6 W 2.73